Compound: Tm3S2N
Source: OQMD via LeMat-Bulk
Functional: PBE
Structure: optimized geometry

Values from the calculation:
Symmetry = P-3m1 (164)
Magnetic moment = 0.00 μB/cell
Electronic total energy = -6.8683 eV/atom

Cell: 3.6208 3.6208 9.3943 Å, 90.00 90.00 120.00°
Closest atoms and distances in Å follow each position.
Positions (direct):
S  0.6667  0.3333  0.6796  6 Tm 2.69-2.72
Tm  0.3333  0.6667  0.8656  3 N 2.44, 3 S 2.72
Tm  0.0000  0.0000  0.5000  6 S 2.69
Tm  0.6667  0.3333  0.1344  3 N 2.44, 3 S 2.72
S  0.3333  0.6667  0.3204  6 Tm 2.69-2.72
N  0.0000  0.0000  0.0000  6 Tm 2.44